Entry 1:
A plane-wave DFT calculation with GGA-PBE was carried out for a geometry-optimized TmHgBi2 structure.

a b c (Å): 4.8067 4.8067 19.4430
angles (deg): 90.00 90.00 120.00
Space group R3m (No. 160, hexagonal axes)
Unique sites:
1 Tm 0.0000 0.0000 0.0000 x3
2 Hg 0.0000 0.0000 0.8347 x3
3 Bi 0.0000 0.0000 0.4102 x3
4 Bi 0.0000 0.0000 0.5903 x3

energy of formation from the pure elements	-55	kJ/mol of formula units

Entry 2:
A plane-wave DFT calculation with GGA-PBE was carried out for a geometry-optimized Tm4HgBi structure.

a b c (Å): 8.580 13.055 6.447
angles (deg): 90.00 107.92 90.00
Space group C2/c (No. 15)
Unique sites:
1 Tm 0.094 0.190 0.053 x8
2 Tm 0.201 0.401 0.403 x8
3 Hg 0.000 0.006 0.750 x4
4 Bi 0.000 0.390 0.750 x4

energy of formation from the pure elements	-203	kJ/mol of formula units

Entry 3:
A plane-wave DFT calculation with GGA-PBE was carried out for a geometry-optimized UHgBi structure.

a b c (Å): 5.3928 5.3928 3.2160
angles (deg): 90.00 90.00 120.00
Space group P3m1 (No. 156)
Unique sites:
1 U 0.0000 0.0000 0.0000 x1
2 Hg 0.6667 0.3333 0.3509 x1
3 Bi 0.3333 0.6667 0.5535 x1

energy of formation from the pure elements	58	kJ/mol of formula units

Entry 4:
A plane-wave DFT calculation with GGA-PBE was carried out for a geometry-optimized UHgBi structure.

a b c (Å): 3.875 3.875 10.917
angles (deg): 90.00 90.00 90.00
Space group I4mm (No. 107)
Unique sites:
1 U 0.000 0.000 0.000 x2
2 Hg 0.000 0.000 0.661 x2
3 Bi 0.000 0.000 0.322 x2

energy of formation from the pure elements	68	kJ/mol of formula units

Number 1: volume 389.0 Å³ per cell. Number 2: volume 687.1 Å³ per cell. Number 3: volume 81.0 Å³ per cell. Number 4: volume 164.0 Å³ per cell.